Material: YNiOs2
Method: DFT, PBE
State: relaxed

```
YNiOs2
1.0
-0.109 0.825 -2.700
2.469 -2.585 -0.890
-4.740 -4.157 -1.079
Ni Os Y
1 2 1
Cartesian
-2.375 -3.998 -2.604
-4.463 -3.914 -1.016
-2.648 -2.322 -0.602
-0.005 -1.919 -2.064
```

## Properties
Energy relative to the elements (eV/f.u.): 1.2
E_tot (eV per atom): -8.3687
SG: No. 47